No. 1
DFT (PBE) results for a relaxed structure of Li2ZnW.

The structure in POSCAR format:
```
Li2ZnW
1.0
4.726 0.000 0.000
0.000 2.525 -0.191
0.000 0.385 5.083
Li W Zn
2 1 1
direct
0.000 0.876 0.050
0.500 0.374 0.210
0.000 0.375 0.557
0.500 0.874 0.683
```

Calculated values
Crystal system: orthorhombic
Raw total energy, eV per atom: -4.1984

=====

No. 2
DFT (PBE) results for a relaxed structure of Li2ZnW.

The structure in POSCAR format:
```
Li2ZnW
1.0
-2.238 4.723 0.868
-3.257 3.973 -1.297
-4.754 -0.186 2.302
Zn Li W
1 2 1
direct
0.252 0.252 0.357
0.990 0.990 0.906
0.749 0.749 0.847
0.509 0.509 0.390
```

Calculated values
Crystal system: monoclinic
Raw total energy, eV per atom: -4.1529

=====

No. 3
DFT (PBE) results for a relaxed structure of LiZnW2.

The structure in POSCAR format:
```
LiZnW2
1.0
-0.300 0.739 2.513
-2.461 -0.944 -0.016
3.018 -7.912 2.687
Zn W Li
1 2 1
direct
0.500 0.500 0.250
0.000 0.000 0.009
0.000 0.000 0.491
0.500 0.500 0.750
```

Calculated values
Crystal system: tetragonal
Raw total energy, eV per atom: -6.7829

=====

No. 4
DFT (PBE) results for a relaxed structure of LiZnW2.

The structure in POSCAR format:
```
LiZnW2
1.0
-2.100 1.340 0.873
-2.501 -1.994 -2.955
-1.008 -3.807 3.423
W Zn Li
2 1 1
direct
0.000 0.000 0.503
0.000 0.000 0.997
0.500 0.500 0.250
0.500 0.500 0.750
```

Calculated values
Crystal system: orthorhombic
Raw total energy, eV per atom: -6.8385

=====

No. 5
DFT (PBE) results for a relaxed structure of LiZn2W.

The structure in POSCAR format:
```
LiZn2W
1.0
4.883 0.001 0.000
1.978 4.465 0.000
-3.431 -2.233 2.663
Li W Zn
1 1 2
direct
0.500 0.500 0.000
0.750 0.250 0.500
0.000 0.000 0.000
0.250 0.750 0.500
```

Calculated values
Relative energy among the computed polymorphs, meV per atom: 391.6
Crystal system: tetragonal
Raw total energy, eV per atom: -3.8870

=====

No. 6
DFT (PBE) results for a relaxed structure of Li2ZnW.

The structure in POSCAR format:
```
Li2ZnW
1.0
-0.992 -3.704 -2.000
1.741 -2.231 3.270
-3.085 2.928 0.781
Zn Li W
1 2 1
direct
0.750 0.250 0.500
0.000 0.000 0.000
0.250 0.750 0.500
0.500 0.500 0.000
```

Calculated values
Crystal system: cubic
Raw total energy, eV per atom: -3.8565

=====

No. 7
DFT (PBE) results for a relaxed structure of LiZn2W.

The structure in POSCAR format:
```
LiZn2W
1.0
-0.458 2.266 -1.288
-0.161 -1.883 -1.852
-8.742 -0.847 1.621
Zn W Li
2 1 1
direct
0.500 0.500 0.251
0.000 0.000 0.002
0.500 0.500 0.755
0.000 0.000 0.492
```

Calculated values
Relative energy among the computed polymorphs, meV per atom: 104.4
Crystal system: orthorhombic
Raw total energy, eV per atom: -4.1741

=====

No. 8
DFT (PBE) results for a relaxed structure of LiZn2W.

The structure in POSCAR format:
```
LiZn2W
1.0
4.692 -0.028 -0.001
3.988 2.472 -0.001
0.656 0.185 5.172
Li Zn W
1 2 1
direct
0.750 0.750 0.750
0.000 0.000 0.003
0.500 0.500 0.497
0.250 0.250 0.250
```

Calculated values
Relative energy among the computed polymorphs, meV per atom: 269.9
Crystal system: monoclinic
Raw total energy, eV per atom: -4.0086

=====

No. 9
DFT (PBE) results for a relaxed structure of Li2ZnW.

The structure in POSCAR format:
```
Li2ZnW
1.0
-1.454 2.532 -4.484
-3.612 -0.920 3.839
0.563 2.188 1.053
W Zn Li
1 1 2
direct
0.500 0.000 0.500
0.000 0.500 0.500
0.500 0.500 0.000
0.000 0.000 0.000
```

Calculated values
Crystal system: orthorhombic
Raw total energy, eV per atom: -4.1236

=====

No. 10
DFT (PBE) results for a relaxed structure of LiZn2W.

The structure in POSCAR format:
```
LiZn2W
1.0
0.000 3.089 3.089
3.089 0.000 3.089
3.089 3.089 0.000
Zn Li W
2 1 1
direct
0.750 0.750 0.750
0.250 0.250 0.250
0.000 0.000 0.000
0.500 0.500 0.500
```

Calculated values
Relative energy among the computed polymorphs, meV per atom: 350.4
Crystal system: cubic
Raw total energy, eV per atom: -3.9281

=====

No. 11
DFT (PBE) results for a relaxed structure of LiZn2W.

The structure in POSCAR format:
```
LiZn2W
1.0
-4.331 -0.591 1.273
0.415 -2.917 3.471
2.193 3.951 -0.554
Zn W Li
2 1 1
direct
0.000 0.000 0.000
0.500 0.500 0.000
0.750 0.250 0.500
0.250 0.750 0.500
```

Calculated values
Relative energy among the computed polymorphs, meV per atom: 344.0
Crystal system: tetragonal
Raw total energy, eV per atom: -3.9346

=====

No. 12
DFT (PBE) results for a relaxed structure of Li2ZnW.

The structure in POSCAR format:
```
Li2ZnW
1.0
9.836 0.009 0.005
9.461 2.691 0.005
9.461 1.324 2.343
Li Zn W
2 1 1
direct
0.498 0.498 0.498
0.002 0.002 0.002
0.750 0.750 0.750
0.250 0.250 0.250
```

Calculated values
Crystal system: trigonal
Raw total energy, eV per atom: -4.3136

=====

No. 13
DFT (PBE) results for a relaxed structure of LiZn2W.

The structure in POSCAR format:
```
LiZn2W
1.0
5.516 0.003 0.009
2.836 4.731 -0.009
-3.456 -3.637 2.291
W Li Zn
1 1 2
direct
0.239 0.739 0.500
0.516 0.516 0.000
0.755 0.255 0.500
0.991 0.991 0.000
```

Calculated values
Relative energy among the computed polymorphs, meV per atom: 154.8
Crystal system: orthorhombic
Raw total energy, eV per atom: -4.1238

=====

No. 14
DFT (PBE) results for a relaxed structure of Li2ZnW.

The structure in POSCAR format:
```
Li2ZnW
1.0
-2.435 -0.986 0.114
1.580 -1.481 -1.492
2.429 -5.117 7.654
Zn W Li
1 1 2
direct
0.500 0.500 0.750
0.500 0.500 0.250
0.000 0.000 0.504
0.000 0.000 0.996
```

Calculated values
Crystal system: orthorhombic
Raw total energy, eV per atom: -4.3295

=====

No. 15
DFT (PBE) results for a relaxed structure of Li2ZnW.

The structure in POSCAR format:
```
Li2ZnW
1.0
2.715 0.000 0.000
0.000 2.715 0.000
0.000 0.000 8.283
Li Zn W
2 1 1
direct
0.000 0.000 0.983
0.500 0.500 0.253
0.500 0.500 0.755
0.000 0.000 0.510
```

Calculated values
Crystal system: tetragonal
Raw total energy, eV per atom: -4.3019

=====

No. 16
DFT (PBE) results for a relaxed structure of LiZrZnW2.

The structure in POSCAR format:
```
LiZrZnW2
1.0
4.760 0.000 0.000
0.000 3.971 0.000
0.000 0.000 4.760
Zn Li W Zr
1 1 2 1
direct
0.000 0.000 0.000
0.000 0.500 0.000
0.000 0.000 0.500
0.500 0.000 0.000
0.500 0.500 0.500
```

Calculated values
Crystal system: tetragonal
Raw total energy, eV per atom: -6.4328

=====

No. 17
DFT (PBE) results for a relaxed structure of LiZrW2.

The structure in POSCAR format:
```
LiZrW2
1.0
3.267 0.000 0.000
0.000 3.267 0.000
0.000 0.000 6.337
W Zr Li
2 1 1
direct
0.500 0.500 0.223
0.000 0.000 0.003
0.000 0.000 0.501
0.500 0.500 0.774
```

Calculated values
Relative energy among the computed polymorphs, meV per atom: 20.1
Crystal system: tetragonal
Raw total energy, eV per atom: -8.7996

=====

No. 18
DFT (PBE) results for a relaxed structure of Li2ZrW.

The structure in POSCAR format:
```
Li2ZrW
1.0
-0.065 -3.229 -4.527
1.675 -1.920 4.943
-2.506 -0.738 0.562
W Li Zr
1 2 1
direct
0.500 0.000 0.500
0.500 0.500 0.000
0.000 0.000 0.000
0.000 0.500 0.500
```

Calculated values
Relative energy among the computed polymorphs, meV per atom: 293.0
Crystal system: orthorhombic
Raw total energy, eV per atom: -5.7702

=====

No. 19
DFT (PBE) results for a relaxed structure of Li2ZrW.

The structure in POSCAR format:
```
Li2ZrW
1.0
-1.961 0.159 -2.803
1.541 -2.797 -1.237
-4.302 -3.610 2.805
Zr W Li
1 1 2
direct
0.500 0.500 0.715
0.000 0.000 0.502
0.000 0.000 0.025
0.500 0.500 0.258
```

Calculated values
Relative energy among the computed polymorphs, meV per atom: 217.4
Crystal system: tetragonal
Raw total energy, eV per atom: -5.8458

=====

No. 20
DFT (PBE) results for a relaxed structure of LiZrW2.

The structure in POSCAR format:
```
LiZrW2
1.0
7.365 0.000 0.000
0.000 7.365 0.000
3.683 3.683 2.556
W Li Zr
4 2 2
direct
0.875 0.840 0.750
0.160 0.625 0.250
0.590 0.125 0.250
0.375 0.410 0.750
0.500 0.500 0.000
0.250 0.750 0.500
0.000 0.000 0.000
0.750 0.250 0.500
```

Calculated values
Relative energy among the computed polymorphs, meV per atom: 666.6
Crystal system: tetragonal
Raw total energy, eV per atom: -8.1531

=====

No. 21
DFT (PBE) results for a relaxed structure of Li2ZrW.

The structure in POSCAR format:
```
Li2ZrW
1.0
-0.301 0.066 3.058
-0.443 -4.457 0.053
5.198 -0.510 0.523
Zr Li W
1 2 1
direct
0.000 0.500 0.500
0.500 0.500 0.000
0.000 0.000 0.000
0.500 0.000 0.500
```

Calculated values
Relative energy among the computed polymorphs, meV per atom: 158.3
Crystal system: orthorhombic
Raw total energy, eV per atom: -5.9050

=====

No. 22
DFT (PBE) results for a relaxed structure of LiZrW2.

The structure in POSCAR format:
```
LiZrW2
1.0
2.718 0.000 0.000
0.000 2.718 0.000
0.000 0.000 9.599
Zr Li W
1 1 2
direct
0.000 0.000 0.490
0.500 0.500 0.769
0.000 0.000 0.001
0.500 0.500 0.239
```

Calculated values
Relative energy among the computed polymorphs, meV per atom: 164.9
Crystal system: tetragonal
Raw total energy, eV per atom: -8.6548

=====

No. 23
DFT (PBE) results for a relaxed structure of LiZrW3.

The structure in POSCAR format:
```
LiZrW3
1.0
4.867 0.000 0.000
0.000 4.867 0.000
0.000 0.000 4.867
W Zr Li
3 1 1
direct
0.500 0.000 0.000
0.000 0.000 0.500
0.000 0.500 0.000
0.000 0.000 0.000
0.500 0.500 0.500
```

Calculated values
Relative energy among the computed polymorphs, meV per atom: 1196.8
Crystal system: cubic
Raw total energy, eV per atom: -7.4022

=====

No. 24
DFT (PBE) results for a relaxed structure of Li2ZrW.

The structure in POSCAR format:
```
Li2ZrW
1.0
2.812 0.010 0.000
-0.850 2.681 0.000
0.000 0.000 9.853
Li Zr W
2 1 1
direct
0.000 0.000 0.009
0.500 0.500 0.265
0.500 0.500 0.730
0.000 0.000 0.496
```

Calculated values
Relative energy among the computed polymorphs, meV per atom: 0.0
Crystal system: orthorhombic
Raw total energy, eV per atom: -6.0632

=====

No. 25
DFT (PBE) results for a relaxed structure of LiZrW3.

The structure in POSCAR format:
```
LiZrW3
1.0
4.366 0.000 0.000
0.000 4.366 0.000
0.000 0.000 4.366
W Li Zr
3 1 1
direct
0.000 0.500 0.000
0.000 0.000 0.500
0.500 0.000 0.000
0.000 0.000 0.000
0.500 0.500 0.500
```

Calculated values
Relative energy among the computed polymorphs, meV per atom: 0.0
Crystal system: cubic
Raw total energy, eV per atom: -8.5990

=====

No. 26
DFT (PBE) results for a relaxed structure of LiZr4W.

The structure in POSCAR format:
```
LiZr4W
1.0
0.000 4.022 4.022
4.022 0.000 4.022
4.022 4.022 0.000
Zr W Li
4 1 1
direct
0.373 0.373 0.882
0.373 0.882 0.373
0.373 0.373 0.373
0.882 0.373 0.373
0.000 0.000 0.000
0.750 0.750 0.750
```

Calculated values
Crystal system: cubic
Raw total energy, eV per atom: -7.4051

=====

No. 27
DFT (PBE) results for a relaxed structure of LiZrW2.

The structure in POSCAR format:
```
LiZrW2
1.0
-3.394 0.209 -4.216
-0.785 -1.771 -5.059
-2.638 -3.377 -0.231
Zr W Li
1 2 1
direct
0.750 0.750 0.750
0.501 0.501 0.498
0.999 0.999 0.002
0.250 0.250 0.250
```

Calculated values
Relative energy among the computed polymorphs, meV per atom: 112.2
Crystal system: orthorhombic
Raw total energy, eV per atom: -8.7075

=====

No. 28
DFT (PBE) results for a relaxed structure of Li2ZrW.

The structure in POSCAR format:
```
Li2ZrW
1.0
4.813 0.000 0.000
0.000 3.832 0.000
0.000 0.000 3.832
Li Zr W
2 1 1
direct
0.000 0.500 0.500
0.000 0.000 0.000
0.500 0.000 0.500
0.500 0.500 0.000
```

Calculated values
Relative energy among the computed polymorphs, meV per atom: 315.9
Crystal system: tetragonal
Raw total energy, eV per atom: -5.7473

=====

No. 29
DFT (PBE) results for a relaxed structure of LiZrW2.

The structure in POSCAR format:
```
LiZrW2
1.0
-0.314 1.326 -2.290
0.939 -3.604 -2.215
-5.857 -1.489 -0.060
Li W Zr
1 2 1
direct
0.500 0.500 0.762
0.500 0.500 0.225
0.000 0.000 0.009
0.000 0.000 0.504
```

Calculated values
Relative energy among the computed polymorphs, meV per atom: 159.8
Crystal system: orthorhombic
Raw total energy, eV per atom: -8.6599

=====

No. 30
DFT (PBE) results for a relaxed structure of Li2ZrW.

The structure in POSCAR format:
```
Li2ZrW
1.0
-6.792 -0.191 -8.342
-6.169 -2.918 -8.318
-8.211 -1.935 -6.678
W Zr Li
1 1 2
direct
0.250 0.250 0.250
0.750 0.750 0.750
0.994 0.994 0.994
0.506 0.506 0.506
```

Calculated values
Relative energy among the computed polymorphs, meV per atom: 168.9
Crystal system: trigonal
Raw total energy, eV per atom: -5.8943

=====

For reference, formation energy by record: 0.32; 0.36; 0.49; 0.44; 0.47; 0.66; 0.18; 0.35; 0.39; 0.43; 0.42; 0.20; 0.23; 0.18; 0.21; 1.10; 0.29; 0.56; 0.49; 0.94; 0.43; 0.44; 2.46; 0.27; 1.27; 0.77; 0.38; 0.58; 0.43; 0.44 eV/atom.
For reference, density of states at the Fermi level by record: 2.69; 2.60; 3.75; 2.76; 3.15; 2.68; 2.18; 3.46; 2.35; 1.87; 2.85; 2.69; 1.47; 1.96; 1.79; 5.79; 3.46; 3.46; 3.15; 2.95; 2.87; 2.45; 4.85; 3.13; 6.61; 12.16; 3.16; 5.11; 3.50; 2.65 states/eV/f.u..